1.
# GGA-PBE TbScCoAg, optimized geometry
# - space group = F-43m
# - total DFT energy (no corrections) (eV per cell) = -21.6
# - calculated volume (Å³/cell) = 78.96
# - ΔE_f (eV/atom) = -0.18
# - E above lowest polymorph (eV/atom) = 0.090
# - DOS(E_F) (states/eV/f.u.) = 3.26
data_TbScCoAg
_symmetry_space_group_name_H-M 'P 1'
_symmetry_Int_Tables_number 1
_cell_length_a 4.816
_cell_length_b 4.816
_cell_length_c 4.816
_cell_angle_alpha 60.00
_cell_angle_beta 60.00
_cell_angle_gamma 60.00
loop_
_symmetry_equiv_pos_as_xyz
'x,y,z'
loop_
_atom_site_label
_atom_site_fract_x
_atom_site_fract_y
_atom_site_fract_z
Tb1 0.000 0.000 0.000
Sc1 0.500 0.500 0.500
Co1 0.250 0.250 0.250
Ag1 0.750 0.750 0.750


2.
# GGA-PBE ThScCoAg, optimized geometry
# - space group = F-43m
# - total DFT energy (no corrections) (eV per cell) = -24.0
# - calculated volume (Å³/cell) = 84.29
# - ΔE_f (eV/atom) = -0.08
# - DOS(E_F) (states/eV/f.u.) = 2.81
data_ThScCoAg
_symmetry_space_group_name_H-M 'P 1'
_symmetry_Int_Tables_number 1
_cell_length_a 4.921
_cell_length_b 4.921
_cell_length_c 4.921
_cell_angle_alpha 60.00
_cell_angle_beta 60.00
_cell_angle_gamma 60.00
loop_
_symmetry_equiv_pos_as_xyz
'x,y,z'
loop_
_atom_site_label
_atom_site_fract_x
_atom_site_fract_y
_atom_site_fract_z
Th1 0.000 0.000 0.000
Sc1 0.500 0.500 0.500
Co1 0.250 0.250 0.250
Ag1 0.750 0.750 0.750


> What is the ΔE_f in the second record?

-0.08 eV/atom